Material: CsHfCu3Se4
Method: DFT, PBE
State: optimized geometry

Summary:
Theoretical density, g cm⁻³: 5.9
Energy above the most stable polymorph in this dataset, kcal/mol of atoms: 0.00
Electronic total energy, eV per atom: -4.7598
Space group: No. 11

```
CsHfCu3Se4
1.0
-5.377 2.009 -1.492
1.364 -1.905 -7.482
-1.246 -10.040 2.329
Hf Se Cu Cs
2 8 6 2
direct
0.355 0.750 0.707
0.645 0.250 0.293
0.521 0.250 0.510
0.708 0.750 0.902
0.104 0.488 0.712
0.896 0.988 0.288
0.896 0.512 0.288
0.104 0.012 0.712
0.479 0.750 0.490
0.292 0.250 0.098
0.784 0.513 0.503
0.216 0.013 0.497
0.150 0.250 0.299
0.784 0.987 0.503
0.850 0.750 0.701
0.216 0.487 0.497
0.698 0.250 0.880
0.302 0.750 0.120
```